No. 1
ZnHgI: optimized geometry, PBE-GGA.

The structure in POSCAR format:
```
ZnHgI
1.0
6.709 0.000 0.000
0.000 9.633 0.000
0.000 0.000 6.366
Zn Hg I
4 4 4
direct
0.207 0.176 0.000 Zn
0.293 0.176 0.500 Zn
0.707 0.824 0.000 Zn
0.793 0.824 0.500 Zn
0.027 0.957 0.206 Hg
0.473 0.957 0.706 Hg
0.527 0.043 0.206 Hg
0.973 0.043 0.706 Hg
0.033 0.346 0.294 I
0.467 0.346 0.794 I
0.533 0.654 0.294 I
0.967 0.654 0.794 I
```

## Properties
Its symmetry is No. 29. The calculation puts the formation energy (no corrections) at -0.40 eV per formula unit. The mass density comes out at 6.34 g/cm³.


No. 2
ErSc2Al9: optimized geometry, PBE-GGA.

The structure in POSCAR format:
```
ErSc2Al9
1.0
2.717 1.569 8.666
-2.717 1.569 8.666
0.000 -3.137 8.666
Er Sc Al
1 2 9
direct
0.000 0.000 0.000 Er
0.143 0.143 0.143 Sc
0.857 0.857 0.857 Sc
0.078 0.589 0.589 Al
0.335 0.335 0.335 Al
0.411 0.411 0.922 Al
0.411 0.922 0.411 Al
0.500 0.500 0.500 Al
0.589 0.078 0.589 Al
0.589 0.589 0.078 Al
0.665 0.665 0.665 Al
0.922 0.411 0.411 Al
```

## Properties
Its symmetry is No. 166. Its formation energy is -7.42 kcal/mol of atoms. The mass density comes out at 3.75 g/cm³.


No. 3
SrLu2Rh: optimized geometry, PBE-GGA.

The structure in POSCAR format:
```
SrLu2Rh
1.0
3.486 0.000 0.000
0.000 3.486 0.000
0.000 0.000 9.390
Sr Lu Rh
1 2 1
direct
0.000 0.000 0.000 Sr
0.500 0.500 0.334 Lu
0.500 0.500 0.666 Lu
0.000 0.000 0.500 Rh
```

## Properties
Its symmetry is No. 123. Its formation energy is -8.89 kcal/mol of atoms. The mass density comes out at 7.86 g/cm³.